A relaxed structure of Na5Tl2Pb. Source: Alexandria via LeMat-Bulk, functional PBE.

Geometry as POSCAR:
```
Na5Tl2Pb
1.0
-4.088 4.609 -5.858
5.473 -2.681 -5.928
-4.680 -6.181 4.571
Na Tl Pb
10 4 2
Direct
0.502 0.678 0.680
0.822 0.998 0.320
0.000 0.000 0.000
0.500 0.500 0.000
0.178 0.002 0.680
0.678 0.178 0.680
0.002 0.502 0.680
0.322 0.822 0.320
0.998 0.498 0.320
0.498 0.322 0.320
0.136 0.364 0.000
0.636 0.136 0.000
0.364 0.864 0.000
0.864 0.636 0.000
0.750 0.750 0.500
0.250 0.250 0.500
```

Computed properties:
offset from the most stable computed form	0.04	eV/f.u.
Fermi-level density of states	0.304	states/eV per atom
symmetry	I4/mcm, No. 140
total magnetic moment	0.000	μB per atom
raw total energy	-1.965	eV per atom